The following is a DFT calculation (PBE-GGA) of a geometry-optimized CsRb2DyCl6 structure. Values from VASP.

```
&SYSTEM
  ibrav = 0, nat = 10, ntyp = 4
/
ATOMIC_SPECIES
Cs 132.91 Cs.upf
Cl 35.45 Cl.upf
Rb 85.47 Rb.upf
Dy 162.50 Dy.upf
CELL_PARAMETERS angstrom
-0.292 0.301 8.341
4.363 -5.488 4.535
6.680 2.526 4.326
ATOMIC_POSITIONS angstrom
Cs 5.375 -1.331 8.601
Cl 6.097 0.802 6.236
Cl 8.510 -2.233 8.745
Cl 5.936 0.968 10.851
Cl 2.241 -0.428 8.457
Cl 4.815 -3.630 6.351
Cl 4.654 -3.463 10.966
Rb 8.061 -1.995 12.901
Rb 2.688 -0.665 4.301
Dy 11.043 -2.963 8.861
```

- ΔE_f (raw) (kJ per mole of atoms) = -199.3
- E_tot (eV per atom) = -3.913
- DOS at the Fermi energy (states/eV/atom) = 0.0000
- space-group type = Fm-3m
- density (g/cm3) = 2.7